# BaLuHf

Crystalline BaLuHf at its relaxed geometry (PBE, the Open Quantum Materials Database).

Summary:
* DFT total energy: -4.027 eV/atom
* total magnetization: 4.105 Bohr magnetons per cell

Structure (CIF):
```
data_BaLuHf
_chemical_formula_sum 'Ba4 Lu4 Hf4'
_cell_length_a 7.466
_cell_length_b 7.466
_cell_length_c 7.466
_cell_angle_alpha 90.00
_cell_angle_beta 90.00
_cell_angle_gamma 90.00
_symmetry_space_group_name_H-M 'F -4 3 m'
_symmetry_Int_Tables_number 216
_symmetry_space_group_name_Hall 'F -4 2 3'
loop_
_atom_site_label
_atom_site_fract_x
_atom_site_fract_y
_atom_site_fract_z
_atom_site_occupancy
Ba1 0.000 0.000 0.000 1
Lu1 0.250 0.250 0.250 1
Hf1 0.250 0.250 0.750 1
```

---

# BaLu2Hf

Crystalline BaLu2Hf at its relaxed geometry (PBE, the Open Quantum Materials Database).

Summary:
* DFT total energy: -4.655 eV/atom
* total magnetization: 3.652 Bohr magnetons per cell

Structure (CIF):
```
data_BaLu2Hf
_chemical_formula_sum 'Ba4 Lu8 Hf4'
_cell_length_a 7.912
_cell_length_b 7.912
_cell_length_c 7.912
_cell_angle_alpha 90.00
_cell_angle_beta 90.00
_cell_angle_gamma 90.00
_symmetry_space_group_name_H-M 'F -4 3 m'
_symmetry_Int_Tables_number 216
_symmetry_space_group_name_Hall 'F -4 2 3'
loop_
_atom_site_label
_atom_site_fract_x
_atom_site_fract_y
_atom_site_fract_z
_atom_site_occupancy
Ba1 0.000 0.000 0.000 1
Lu1 0.000 0.000 0.500 1
Lu2 0.250 0.250 0.750 1
Hf1 0.250 0.250 0.250 1
```

---

# BaHfMg

Crystalline BaHfMg at its relaxed geometry (PBE, the Open Quantum Materials Database).

Summary:
* offset from the most stable computed form: 0.0 kJ per mole of atoms
* total magnetization: 0.005 Bohr magnetons per cell

Structure (CIF):
```
data_BaHfMg
_chemical_formula_sum 'Ba4 Hf4 Mg4'
_cell_length_a 7.377
_cell_length_b 7.377
_cell_length_c 7.377
_cell_angle_alpha 90.00
_cell_angle_beta 90.00
_cell_angle_gamma 90.00
_symmetry_space_group_name_H-M 'F -4 3 m'
_symmetry_Int_Tables_number 216
_symmetry_space_group_name_Hall 'F -4 2 3'
loop_
_atom_site_label
_atom_site_fract_x
_atom_site_fract_y
_atom_site_fract_z
_atom_site_occupancy
Ba1 0.000 0.000 0.000 1
Hf1 0.250 0.250 0.250 1
Mg1 0.000 0.000 0.500 1
```

---

# Ba2HfMg

Crystalline Ba2HfMg at its relaxed geometry (PBE, the Open Quantum Materials Database).

Summary:
* DFT total energy: -3.211 eV/atom
* total magnetization: 9.072 Bohr magnetons per cell

Structure (CIF):
```
data_Ba2HfMg
_chemical_formula_sum 'Ba8 Hf4 Mg4'
_cell_length_a 8.241
_cell_length_b 8.241
_cell_length_c 8.241
_cell_angle_alpha 90.00
_cell_angle_beta 90.00
_cell_angle_gamma 90.00
_symmetry_space_group_name_H-M 'F -4 3 m'
_symmetry_Int_Tables_number 216
_symmetry_space_group_name_Hall 'F -4 2 3'
loop_
_atom_site_label
_atom_site_fract_x
_atom_site_fract_y
_atom_site_fract_z
_atom_site_occupancy
Ba1 0.000 0.000 0.000 1
Ba2 0.250 0.250 0.250 1
Hf1 0.250 0.250 0.750 1
Mg1 0.000 0.000 0.500 1
```